# PBE with a Hubbard U NiAgRuF6, optimized geometry
# density = 4.821 g/cm3
# calculated volume = 262.9 Å³ per cell
# VASP energy = -80.885 eV for the cell shown
# Fermi-level density of states = 1.2495 states/eV/atom
data_NiAgRuF6
_symmetry_space_group_name_H-M 'P -3 1 c'
_symmetry_Int_Tables_number 163
_symmetry_space_group_name_Hall '-P 3 2c'
_cell_length_a 5.3974
_cell_length_b 5.3974
_cell_length_c 10.4200
_cell_angle_alpha 90.00
_cell_angle_beta 90.00
_cell_angle_gamma 120.00
loop_
_atom_site_label
_atom_site_type_symbol
_atom_site_fract_x
_atom_site_fract_y
_atom_site_fract_z
Ni1 Ni 0.3333 0.6667 0.2500
Ag1 Ag 0.0000 0.0000 0.0000
Ru1 Ru 0.3333 0.6667 0.7500
F1 F 0.0015 0.3613 0.6466